Here is Be2NiHPt after structural relaxation from the Alexandria database. Energies are from PBE-GGA.

It has space group P4/mmm (No. 123), with a = 3.7446 Å, b = 3.7446 Å, c = 3.1712 Å, α = 90.00°, β = 90.00° and γ = 90.00°. The asymmetric unit holds Be at (0.0000, 0.5000, 0.0000), Ni at (0.0000, 0.0000, 0.5000), H at (0.0000, 0.0000, 0.0000) and Pt at (0.5000, 0.5000, 0.5000).

The density of states at the Fermi level comes out at 1.9 states/eV/cell. The volume is 44 Å³/f.u. The calculation puts the magnetization at 0.0000 μB per atom. The value obtained for the offset from the most stable computed form is 0 meV per atom.